Entry 1:
DFT (PBE-GGA) results for an optimized crystal structure of Ce2BSe6.

## Properties
Energy relative to the elements, uncorrected in kcal/mol of atoms: -20.3
Electronic total energy in eV/atom: -5.262
Space-group type: P2_1/c, No. 14

Unit cell a=6.0047 b=7.9419 c=8.7756 alpha=90.00 beta=90.90 gamma=90.00
Last column: nearest neighbours and their distance in Å.
Sites, in units of the cell vectors:
Ce 0.0938 0.6116 0.2498  8 Se 2.90-3.14
Se 0.9225 0.9830 0.2843  1 B 1.95
Se 0.6684 0.1619 0.9681  1 B 2.88, 3 Ce 2.93-3.00, 1 Se 3.07
Se 0.1684 0.3381 0.4681  1 B 2.88, 3 Ce 2.93-3.00, 1 Se 3.07
Ce 0.5938 0.8884 0.7498  8 Se 2.90-3.14
Se 0.6275 0.1898 0.5461  1 B 2.73, 3 Ce 2.90-3.00
Se 0.3725 0.8102 0.4539  1 B 2.73, 3 Ce 2.90-3.00
B 0.0000 0.0000 0.5000  2 Se 1.95
Se 0.3316 0.8381 0.0319  1 B 2.88, 3 Ce 2.93-3.00, 1 Se 3.07
B 0.5000 0.5000 0.0000  2 Se 1.95
Ce 0.9062 0.3884 0.7502  8 Se 2.90-3.14
Se 0.8725 0.6898 0.9539  1 B 2.73, 3 Ce 2.90-3.00
Ce 0.4062 0.1116 0.2502  8 Se 2.90-3.14
Se 0.8316 0.6619 0.5319  1 B 2.88, 3 Ce 2.93-3.00, 1 Se 3.07
Se 0.4225 0.5170 0.7843  1 B 1.95
Se 0.5775 0.4830 0.2157  1 B 1.95
Se 0.1275 0.3102 0.0461  1 B 2.73, 3 Ce 2.90-3.00
Se 0.0775 0.0170 0.7157  1 B 1.95

***

Entry 2:
DFT (PBE-GGA) results for an optimized crystal structure of BaReMo2.

## Properties
Formation energy from the elements in eV per atom: 0.907
Electronic total energy in eV/atom: -8.101
Space-group type: Cmmm, No. 65

Unit cell a=2.9252 b=2.9252 c=9.9808 alpha=90.00 beta=90.00 gamma=109.65
Last column: nearest neighbours and their distance in Å.
Sites, in units of the cell vectors:
Mo 0.0000 0.0000 0.0506  2 Re 2.61
Mo 0.0000 0.0000 0.4494  2 Re 2.61
Ba 0.5000 0.5000 0.7500  4 Ba 2.93
Re 0.5000 0.5000 0.2500  4 Mo 2.61